## 1
DFT (GGA-PBE) results for an optimized crystal structure of Nd3Y6In.

The structure belongs to space group Cmc2_1 (No. 36); the cell edges are 10.8446, 19.3425 and 6.2488 Å and the angles 90.00°, 90.00° and 90.00°. Symmetry generates all atoms from Nd at (0.0000, 0.1066, 0.0000), Nd at (0.1641, 0.3845, 0.3608), Y at (0.0000, 0.2201, 0.5808), Y at (0.0000, 0.4386, 0.8556), Y at (0.1649, 0.0436, 0.4847), Y at (0.2392, 0.2984, 0.8169) and In at (0.0000, 0.2690, 0.0903).

The calculation puts the density of states at the Fermi level at 1.463 states/eV per atom. The value obtained for the size of the total moment is 0.00 μB/cell.

=====

## 2
DFT (GGA-PBE) results for an optimized crystal structure of Nd3Y6In.

The structure belongs to space group P2_1/m (No. 11); the cell edges are 9.7989, 5.6406 and 12.5108 Å and the angles 90.00°, 110.40° and 90.00°. Symmetry generates all atoms from Nd at (0.0237, 0.2500, 0.3763), Nd at (0.1005, 0.7500, 0.2223), Nd at (0.2707, 0.2500, 0.9754), Y at (0.0378, 0.7500, 0.9279), Y at (0.1998, 0.2500, 0.6715), Y at (0.2690, 0.7500, 0.5129), Y at (0.3477, 0.2500, 0.3037), Y at (0.3510, 0.7500, 0.8269), Y at (0.4247, 0.7500, 0.1388) and In at (0.4684, 0.2500, 0.5869).

The calculation puts the density of states at the Fermi level at 1.559 states/eV per atom. The value obtained for the size of the total moment is 0.00 μB/cell.

=====

Which structure is the least stable? The one labeled 1.